[1]
! K2HgCl4 PBE optimized geometry; values from VASP
&SYSTEM
  ibrav = 0, nat = 14, ntyp = 3
/
ATOMIC_SPECIES
K 39.10 K.upf
Hg 200.59 Hg.upf
Cl 35.45 Cl.upf
ATOMIC_POSITIONS crystal
K 0.092 0.180 0.000
K 0.408 0.680 0.000
K 0.592 0.320 0.000
K 0.908 0.820 0.000
Hg 0.000 0.500 0.500
Hg 0.500 0.000 0.500
Cl 0.120 0.692 0.500
Cl 0.228 0.442 0.000
Cl 0.272 0.942 0.000
Cl 0.380 0.192 0.500
Cl 0.620 0.808 0.500
Cl 0.728 0.058 0.000
Cl 0.772 0.558 0.000
Cl 0.880 0.308 0.500
CELL_PARAMETERS angstrom
7.834 0.000 0.000
0.000 11.982 0.000
0.000 0.000 4.532
! Symmetry: Pbam, No. 55
! Energy (eV per atom): -2.80
! Energy relative to the elements, uncorrected (eV/atom): -1.39
! N(E_F) (states/eV/cell): 0.0



[2]
! TaFeSCl2 PBE optimized geometry; values from VASP
&SYSTEM
  ibrav = 0, nat = 5, ntyp = 4
/
ATOMIC_SPECIES
Ta 180.95 Ta.upf
Fe 55.84 Fe.upf
S 32.06 S.upf
Cl 35.45 Cl.upf
ATOMIC_POSITIONS crystal
Ta 0.000 0.000 0.000
Fe 0.500 0.500 0.500
S 0.000 0.000 0.500
Cl 0.000 0.500 0.000
Cl 0.500 0.000 0.000
CELL_PARAMETERS angstrom
4.858 0.000 0.000
0.000 4.858 0.000
0.000 0.000 4.807
! Symmetry: P4/mmm, No. 123
! Energy (eV per atom): -5.46
! Energy relative to the elements, uncorrected (eV/atom): 0.17
! N(E_F) (states/eV/cell): 8.5
! Polymorph energy (0 for the lowest one) (eV per formula unit): 0.00



[3]
! CsK2TlCd PBE optimized geometry; values from VASP
&SYSTEM
  ibrav = 0, nat = 5, ntyp = 4
/
ATOMIC_SPECIES
Cs 132.91 Cs.upf
K 39.10 K.upf
Tl 204.38 Tl.upf
Cd 112.41 Cd.upf
ATOMIC_POSITIONS crystal
Cs 0.000 0.000 0.000
K 0.000 0.500 0.500
K 0.500 0.000 0.500
Tl 0.500 0.500 0.000
Cd 0.500 0.500 0.500
CELL_PARAMETERS angstrom
6.876 0.000 0.000
0.000 6.876 0.000
0.000 0.000 5.897
! Symmetry: P4/mmm, No. 123
! Energy (eV per atom): -1.25
! E_form (meV/atom): 19
! N(E_F) (states/eV/cell): 3.4
! Polymorph energy (0 for the lowest one) (eV per formula unit): 0.03